A) ! GGA-PBEsol ZrCd2W, optimized geometry; values from VASP
&SYSTEM
  ibrav = 0, nat = 4, ntyp = 3
/
ATOMIC_SPECIES
Cd 112.41 Cd.upf
W 183.84 W.upf
Zr 91.22 Zr.upf
ATOMIC_POSITIONS angstrom
Cd -4.555 -2.701 6.972
Cd 0.000 0.000 0.000
W -3.037 -1.801 4.648
Zr -1.518 -0.900 2.324
CELL_PARAMETERS angstrom
-0.433 0.337 4.734
-4.317 -0.134 2.014
-1.323 -3.804 2.548
! SG	F-43m, No. 216



B) ! GGA-PBEsol ZrCd2W, optimized geometry; values from VASP
&SYSTEM
  ibrav = 0, nat = 4, ntyp = 3
/
ATOMIC_SPECIES
Cd 112.41 Cd.upf
W 183.84 W.upf
Zr 91.22 Zr.upf
ATOMIC_POSITIONS angstrom
Cd 1.799 3.012 2.600
Cd 0.566 0.947 0.817
W 0.982 -1.853 1.467
Zr 2.164 0.126 3.176
CELL_PARAMETERS angstrom
-1.134 -1.833 2.908
3.097 -1.873 0.027
2.365 3.959 3.418
! SG	P4/mmm, No. 123



The structure with the most favorable energy is B); the runner-up is 0.086 eV/atom above it.



A) ! GGA-PBEsol Y2ZnCd, optimized geometry; values from VASP
&SYSTEM
  ibrav = 0, nat = 4, ntyp = 3
/
ATOMIC_SPECIES
Y 88.91 Y.upf
Cd 112.41 Cd.upf
Zn 65.41 Zn.upf
ATOMIC_POSITIONS angstrom
Y -2.343 -0.931 2.234
Y -1.729 -2.537 5.182
Cd 0.630 -1.610 2.910
Zn 0.204 -3.005 0.609
CELL_PARAMETERS angstrom
-2.461 -2.400 -0.795
3.022 -3.646 1.651
-2.321 3.516 4.398
! SG	Imm2, No. 44



B) ! GGA-PBEsol Y2ZnCd, optimized geometry; values from VASP
&SYSTEM
  ibrav = 0, nat = 4, ntyp = 3
/
ATOMIC_SPECIES
Y 88.91 Y.upf
Cd 112.41 Cd.upf
Zn 65.41 Zn.upf
ATOMIC_POSITIONS angstrom
Y 2.552 1.474 1.042
Y 7.657 4.421 3.126
Cd 0.000 0.000 0.000
Zn 5.105 2.947 2.084
CELL_PARAMETERS angstrom
5.105 0.000 0.000
2.552 4.421 0.000
2.552 1.474 4.168
! SG	Fm-3m, No. 225



C) ! GGA-PBEsol Y2ZnCd, optimized geometry; values from VASP
&SYSTEM
  ibrav = 0, nat = 4, ntyp = 3
/
ATOMIC_SPECIES
Y 88.91 Y.upf
Zn 65.41 Zn.upf
Cd 112.41 Cd.upf
ATOMIC_POSITIONS angstrom
Y 0.000 0.000 0.000
Y 1.802 -1.242 2.812
Zn 1.802 2.515 0.009
Cd 0.000 1.273 2.821
CELL_PARAMETERS angstrom
3.604 0.000 0.000
0.000 5.031 0.018
0.000 -2.485 5.624
! SG	P2/m, No. 10



The structure with the most favorable energy is B); the runner-up is 0.094 eV/atom above it.



A) ! GGA-PBEsol Zn5Cd, optimized geometry; values from VASP
&SYSTEM
  ibrav = 0, nat = 6, ntyp = 2
/
ATOMIC_SPECIES
Zn 65.41 Zn.upf
Cd 112.41 Cd.upf
ATOMIC_POSITIONS angstrom
Zn 0.666 2.837 0.369
Zn 3.193 2.118 0.991
Zn 3.723 4.758 1.409
Zn 1.137 1.012 2.334
Zn 2.718 3.938 -0.972
Cd 3.349 6.724 -0.590
CELL_PARAMETERS angstrom
-1.547 1.504 1.768
2.724 -1.068 3.292
4.911 5.242 -2.364
! SG	Amm2, No. 38



B) ! GGA-PBEsol Zn5Cd, optimized geometry; values from VASP
&SYSTEM
  ibrav = 0, nat = 6, ntyp = 2
/
ATOMIC_SPECIES
Zn 65.41 Zn.upf
Cd 112.41 Cd.upf
ATOMIC_POSITIONS angstrom
Zn 0.000 2.542 1.468
Zn 0.000 0.000 2.935
Zn 2.150 -1.271 2.202
Zn 2.150 2.542 0.000
Zn 2.150 1.271 2.202
Cd 0.000 0.000 0.000
CELL_PARAMETERS angstrom
4.300 0.000 0.000
0.000 5.084 0.000
0.000 -2.542 4.403
! SG	P6/mmm, No. 191



C) ! GGA-PBEsol Zn5Cd, optimized geometry; values from VASP
&SYSTEM
  ibrav = 0, nat = 6, ntyp = 2
/
ATOMIC_SPECIES
Cd 112.41 Cd.upf
Zn 65.41 Zn.upf
ATOMIC_POSITIONS angstrom
Cd 0.000 0.000 0.000
Zn 7.630 4.405 3.115
Zn 6.356 2.204 1.558
Zn 3.817 2.204 1.558
Zn 5.086 4.402 1.558
Zn 5.086 2.937 3.631
CELL_PARAMETERS angstrom
5.086 0.000 0.000
2.543 4.405 0.000
2.543 1.468 4.153
! SG	F-43m, No. 216



The structure with the most favorable energy is A); the runner-up is 0.022 eV/atom above it.



A) ! GGA-PBEsol Zr5Cd, optimized geometry; values from VASP
&SYSTEM
  ibrav = 0, nat = 6, ntyp = 2
/
ATOMIC_SPECIES
Zr 91.22 Zr.upf
Cd 112.41 Cd.upf
ATOMIC_POSITIONS angstrom
Zr 2.179 0.000 0.000
Zr 2.179 2.207 2.217
Zr 2.179 4.414 4.494
Zr 0.000 4.414 2.231
Zr 0.000 2.207 4.480
Cd 0.000 2.207 0.000
CELL_PARAMETERS angstrom
4.357 0.000 0.000
0.000 4.414 0.000
0.000 2.207 6.711
! SG	Cmmm, No. 65



B) ! GGA-PBEsol Zr5Cd, optimized geometry; values from VASP
&SYSTEM
  ibrav = 0, nat = 6, ntyp = 2
/
ATOMIC_SPECIES
Zr 91.22 Zr.upf
Cd 112.41 Cd.upf
ATOMIC_POSITIONS angstrom
Zr 0.000 4.009 2.020
Zr 0.000 -0.498 4.417
Zr 0.000 2.550 4.889
Zr 1.554 1.369 2.380
Zr 1.554 0.613 6.875
Cd 1.554 3.761 7.218
CELL_PARAMETERS angstrom
3.108 0.000 0.000
-1.554 5.778 -0.011
0.000 -1.945 7.262
! SG	Cm, No. 8



C) ! GGA-PBEsol Zr5Cd, optimized geometry; values from VASP
&SYSTEM
  ibrav = 0, nat = 6, ntyp = 2
/
ATOMIC_SPECIES
Cd 112.41 Cd.upf
Zr 91.22 Zr.upf
ATOMIC_POSITIONS angstrom
Cd 0.000 0.000 0.016
Zr 1.554 0.000 2.745
Zr 1.554 2.581 6.261
Zr 0.000 0.000 5.517
Zr 0.000 2.581 3.585
Zr 1.554 2.581 0.828
CELL_PARAMETERS angstrom
3.108 0.000 0.000
0.000 5.162 0.000
-1.554 0.000 8.122
! SG	Amm2, No. 38



The structure with the most favorable energy is A); the runner-up is 0.024 eV/atom above it.



A) ! GGA-PBEsol Zr5Cd, optimized geometry; values from VASP
&SYSTEM
  ibrav = 0, nat = 6, ntyp = 2
/
ATOMIC_SPECIES
Zr 91.22 Zr.upf
Cd 112.41 Cd.upf
ATOMIC_POSITIONS angstrom
Zr 1.557 1.557 2.231
Zr 0.000 0.000 4.483
Zr 1.557 1.557 11.153
Zr 0.000 0.000 8.901
Zr 0.000 0.000 0.000
Cd 1.557 1.557 6.692
CELL_PARAMETERS angstrom
3.115 0.000 0.000
0.000 3.115 0.000
0.000 0.000 13.384
! SG	P4/mmm, No. 123



B) ! GGA-PBEsol Zr5Cd, optimized geometry; values from VASP
&SYSTEM
  ibrav = 0, nat = 6, ntyp = 2
/
ATOMIC_SPECIES
Zr 91.22 Zr.upf
Cd 112.41 Cd.upf
ATOMIC_POSITIONS angstrom
Zr 2.572 0.000 3.124
Zr 2.572 2.706 1.562
Zr 0.000 3.654 0.000
Zr 0.000 0.879 1.522
Zr 0.000 -1.827 3.165
Cd 2.572 0.000 0.000
CELL_PARAMETERS angstrom
5.144 0.000 0.000
0.000 5.411 0.000
0.000 -2.706 4.686
! SG	P-62m, No. 189



The structure with the most favorable energy is A); the runner-up is 0.040 eV/atom above it.



A) ! GGA-PBEsol Zr5Cd4, optimized geometry; values from VASP
&SYSTEM
  ibrav = 0, nat = 18, ntyp = 2
/
ATOMIC_SPECIES
Cd 112.41 Cd.upf
Zr 91.22 Zr.upf
ATOMIC_POSITIONS angstrom
Cd 1.479 -2.827 4.896
Cd 2.957 0.000 0.000
Cd 4.436 -1.469 2.545
Cd 1.479 5.653 0.000
Cd 1.479 1.469 2.545
Cd 4.436 2.939 0.000
Cd 4.436 2.827 4.896
Cd 0.000 0.000 0.000
Zr 0.000 0.000 4.961
Zr 2.957 4.296 2.480
Zr 4.436 5.789 0.000
Zr 4.436 -2.894 5.013
Zr 1.479 2.803 0.000
Zr 1.479 2.894 5.013
Zr 0.000 4.296 2.480
Zr 1.479 -1.402 2.428
Zr 4.436 1.402 2.428
Zr 2.957 0.000 4.961
CELL_PARAMETERS angstrom
5.915 0.000 0.000
0.000 8.592 0.000
0.000 -4.296 7.441
! SG	P6_3/mcm, No. 193



B) ! GGA-PBEsol Zr5Cd4, optimized geometry; values from VASP
&SYSTEM
  ibrav = 0, nat = 9, ntyp = 2
/
ATOMIC_SPECIES
Cd 112.41 Cd.upf
Zr 91.22 Zr.upf
ATOMIC_POSITIONS angstrom
Cd 0.324 -4.837 2.162
Cd 1.928 -5.625 4.603
Cd 2.993 -3.540 2.701
Cd 0.618 -2.911 4.465
Zr -1.079 -2.087 1.973
Zr 2.751 -5.473 0.299
Zr -2.157 -4.174 3.942
Zr 1.378 -2.738 0.150
Zr 0.000 0.000 0.000
CELL_PARAMETERS angstrom
-1.359 -4.010 -0.401
5.488 -4.201 0.849
-1.876 -2.251 6.316
! SG	I4/mmm, No. 139



The structure with the most favorable energy is B); the runner-up is 0.006 eV/atom above it.



A) ! GGA-PBEsol Ce3Er, optimized geometry; values from VASP
&SYSTEM
  ibrav = 0, nat = 4, ntyp = 2
/
ATOMIC_SPECIES
Ce 140.12 Ce.upf
Er 167.26 Er.upf
ATOMIC_POSITIONS angstrom
Ce -0.730 -2.738 1.728
Ce -2.674 -0.058 1.964
Ce -2.634 -1.837 -0.837
Er 0.000 0.000 0.000
CELL_PARAMETERS angstrom
-4.578 0.843 -0.601
-0.690 -4.517 -1.073
-0.771 -0.958 4.529
! SG	Pm-3m, No. 221



B) ! GGA-PBEsol Ce3Er, optimized geometry; values from VASP
&SYSTEM
  ibrav = 0, nat = 4, ntyp = 2
/
ATOMIC_SPECIES
Ce 140.12 Ce.upf
Er 167.26 Er.upf
ATOMIC_POSITIONS angstrom
Ce 2.332 0.000 2.357
Ce 0.000 2.332 2.357
Ce 2.332 2.332 0.000
Er 0.000 0.000 0.000
CELL_PARAMETERS angstrom
4.665 0.000 0.000
0.000 4.665 0.000
-2.332 -2.332 4.713
! SG	I4/mmm, No. 139



The structure with the most favorable energy is B); the runner-up is 0.011 eV/atom above it.



A) ! GGA-PBEsol Ce2NiGe3, optimized geometry; values from VASP
&SYSTEM
  ibrav = 0, nat = 12, ntyp = 3
/
ATOMIC_SPECIES
Ni 58.69 Ni.upf
Ce 140.12 Ce.upf
Ge 72.64 Ge.upf
ATOMIC_POSITIONS angstrom
Ni -4.499 -1.175 -0.898
Ni -0.976 -3.411 -3.136
Ce -2.803 -0.902 -3.509
Ce -0.065 1.391 -1.492
Ce 1.208 -1.433 -4.180
Ce -4.076 1.922 -0.822
Ge 0.726 -4.492 -4.218
Ge -6.201 -0.095 0.184
Ge -0.504 -1.764 -1.621
Ge -3.149 -3.979 -3.570
Ge -2.326 -0.607 -0.464
Ge -4.970 -2.823 -2.413
CELL_PARAMETERS angstrom
-0.131 2.782 -2.985
2.547 -5.648 -5.375
-8.022 1.062 1.341
! SG	P6/mmm, No. 191



B) ! GGA-PBEsol Ce2NiGe3, optimized geometry; values from VASP
&SYSTEM
  ibrav = 0, nat = 6, ntyp = 3
/
ATOMIC_SPECIES
Ce 140.12 Ce.upf
Ge 72.64 Ge.upf
Ni 58.69 Ni.upf
ATOMIC_POSITIONS angstrom
Ce -1.130 -2.586 -1.111
Ce -3.061 -5.550 0.966
Ge -1.962 0.320 -1.368
Ge -1.830 -2.810 1.969
Ge -3.792 -2.490 0.601
Ni 0.000 0.000 0.000
CELL_PARAMETERS angstrom
-3.659 1.897 -0.693
1.431 -2.836 -2.716
-3.660 -5.619 3.938
! SG	P-6m2, No. 187



The structure with the most favorable energy is A); the runner-up is 0.039 eV/atom above it.